1.
First-principles (PBE) data for Pr4Tl2Ni after structural relaxation, as listed in Alexandria via LeMat-Bulk.

Cell and atoms, written as extended XYZ:
```
7
Lattice="3.8719 0.0000 0.0000 0.0000 8.6817 1.3935 0.0000 -2.5539 6.3026" Properties=species:S:1:pos:R:3 pbc="T T T"
Pr 1.9359 -1.2801 5.2528
Pr 0.0000 3.0039 2.0158
Pr 1.9359 -0.3996 2.1495
Pr 0.0000 4.0002 6.7786
Tl 1.9359 1.9381 4.7793
Tl 1.9359 5.0633 4.0168
Ni 0.0000 0.4378 0.5508
```

Summary:
formation enthalpy at 0 K: -0.105 eV/atom
space-group type: P2/m, No. 10

2.
First-principles (PBE) data for BaIn12Ag4 after structural relaxation, as listed in Alexandria via LeMat-Bulk.

Cell and atoms, written as extended XYZ:
```
17
Lattice="8.5511 0.0000 0.0000 -2.8504 8.0621 0.0000 -2.8504 -4.0310 6.9820" Properties=species:S:1:pos:R:3 pbc="T T T"
Ba 0.0000 0.0000 0.0000
In 5.6711 2.0365 1.3423
In 1.0960 3.4422 1.0925
In 4.6048 -1.3638 4.5472
In 0.0296 -1.8503 5.8895
In -1.7544 5.3949 2.4348
In 1.7544 0.5888 5.8895
In 2.8800 -0.1442 2.4348
In -0.0296 4.1753 4.5472
In 2.8207 5.8814 1.0925
In 3.9464 3.2561 3.4547
In -1.0960 0.7750 3.5273
In -2.8208 1.9946 5.6397
Ag -1.4252 4.0310 0.0000
Ag 4.2756 0.0000 0.0000
Ag 1.4252 2.0155 3.4910
Ag -1.4252 -2.0155 3.4910
```

Summary:
formation enthalpy at 0 K: 0.002 eV/atom
space-group type: Im-3, No. 204

3.
First-principles (PBE) data for AcNbAu after structural relaxation, as listed in Alexandria via LeMat-Bulk.

Cell and atoms, written as extended XYZ:
```
6
Lattice="5.3416 0.0000 0.0000 -2.6708 2.6682 0.0000 0.0000 0.0000 10.9386" Properties=species:S:1:pos:R:3 pbc="T T T"
Au 2.6708 1.0368 0.0000
Au 0.0000 1.0381 5.4693
Nb 2.6708 1.0380 4.2824
Nb 2.6708 1.0380 6.6562
Ac 0.0000 1.0373 8.8852
Ac 0.0000 1.0373 2.0534
```

Summary:
formation enthalpy at 0 K: -0.059 eV/atom
space-group type: P4/mmm, No. 123

4.
First-principles (PBE) data for Tb2SiAg after structural relaxation, as listed in Alexandria via LeMat-Bulk.

Cell and atoms, written as extended XYZ:
```
4
Lattice="-3.2056 0.4335 -2.7861 -1.6026 -3.4365 -1.9617 -6.0812 -1.7844 3.4483" Properties=species:S:1:pos:R:3 pbc="T T T"
Si 0.0000 0.0000 0.0000
Tb -8.2969 -3.6133 -0.8286
Tb -2.5924 -1.1741 -0.4708
Ag -5.4447 -2.3937 -0.6497
```

Summary:
E_form (uncorrected): -0.34 eV/atom
space-group type: R-3m, No. 166

no.,Fermi-level density of states (states/eV per cell)
1,7.45
2,11.01
3,5.72
4,3.33